{"formula": "Er2SnSe", "functional": "PBE", "state": "optimized geometry", "lattice_angstrom": [[4.1821, -0.0012, -0.0034], [-2.0909, 3.6219, 0.0034], [-2.0854, -1.2098, 6.9985]], "species": ["Sn", "Se", "Er", "Er"], "fractional_positions": [[0.0000, 0.5000, 0.5001], [0.0000, 0.0000, 0.0000], [0.5050, 0.2525, 0.7575], [0.4950, 0.7475, 0.2424]], "e_form_raw_ev_per_atom": -1.175, "vol_a3_per_cell": 105.97, "de_polymorph_ev_per_atom": 0.034, "dos_at_fermi_per_ev_cell": 1.8}